Density functional theory data (PBE) for a geometry-optimized Ac7ErPb5 structure. Values from VASP.

formation energy from the elements	-290	meV per atom
VASP energy	-4.280	eV/atom

Cell and atoms, written as Quantum ESPRESSO input:
```
&SYSTEM
  ibrav = 0, nat = 13, ntyp = 3
/
ATOMIC_SPECIES
Ac 227.00 Ac.upf
Er 167.26 Er.upf
Pb 207.20 Pb.upf
CELL_PARAMETERS angstrom
-3.495 5.833 6.036
3.495 -5.833 6.036
3.495 5.833 -6.036
ATOMIC_POSITIONS crystal
Ac 0.000 0.000 0.000
Ac 0.246 0.565 0.681
Ac 0.359 0.359 0.000
Ac 0.388 0.052 0.336
Ac 0.716 0.052 0.664
Ac 0.814 0.314 0.500
Ac 0.885 0.565 0.319
Er 0.679 0.679 0.000
Pb 0.044 0.040 0.467
Pb 0.044 0.577 0.004
Pb 0.301 0.801 0.500
Pb 0.573 0.040 0.996
Pb 0.573 0.577 0.533
```